(1)
PBE Ce6SnSb5, relaxed; space group = C2/m, No. 12; DOS at the Fermi energy = 34.22 states/eV/cell; formation energy without anion corrections = -0.9476 eV/atom
1.0
3.8962 -6.7505 0.0000
3.8962 6.7505 0.0000
-2.5976 0.0000 7.3495
Ce Sn Sb
6 1 5
direct
0.0832 0.4169 0.7497
0.2502 0.2502 0.2499
0.4169 0.0832 0.7497
0.5831 0.9168 0.2503
0.7498 0.7498 0.7501
0.9168 0.5831 0.2503
0.0000 0.0000 0.5000
0.1671 0.8329 0.0000
0.3335 0.6665 0.5000
0.5000 0.5000 0.0000
0.6665 0.3335 0.5000
0.8329 0.1671 0.0000

=====

(2)
PBE Ce6SnSb, relaxed; space group = P4/mmm, No. 123; DOS at the Fermi energy = 21.41 states/eV/cell; formation energy without anion corrections = -0.4883 eV/atom
1.0
4.7670 0.0000 0.0000
0.0000 4.7670 0.0000
0.0000 0.0000 9.5293
Ce Sn Sb
6 1 1
direct
0.0000 0.0000 0.0000
0.0000 0.0000 0.5000
0.0000 0.5000 0.2477
0.0000 0.5000 0.7523
0.5000 0.0000 0.2477
0.5000 0.0000 0.7523
0.5000 0.5000 0.5000
0.5000 0.5000 0.0000

=====

(3)
PBE Ce5Sn2Sb2, relaxed; space group = Cmce, No. 64; DOS at the Fermi energy = 62.74 states/eV/cell; formation energy without anion corrections = -0.7690 eV/atom
1.0
7.8918 -4.1738 0.0000
7.8918 4.1738 0.0000
0.0000 0.0000 8.3644
Ce Sn Sb
10 4 4
direct
0.0000 0.0000 0.0000
0.0364 0.6868 0.6729
0.1868 0.5364 0.1729
0.3132 0.9636 0.6729
0.4636 0.8132 0.1729
0.5000 0.5000 0.5000
0.5364 0.1868 0.8271
0.6868 0.0364 0.3271
0.8132 0.4636 0.8271
0.9636 0.3132 0.3271
0.1270 0.8730 0.3720
0.3730 0.6270 0.8720
0.6270 0.3730 0.1280
0.8730 0.1270 0.6280
0.2048 0.2048 0.0000
0.2952 0.2952 0.5000
0.7048 0.7048 0.5000
0.7952 0.7952 0.0000

=====

(4)
PBE Ce4Sn5Sb, relaxed; space group = Immm, No. 71; DOS at the Fermi energy = 25.62 states/eV/cell; formation energy without anion corrections = -0.6268 eV/atom
1.0
-2.2136 5.5699 5.9834
2.2136 -5.5699 5.9834
2.2136 5.5699 -5.9834
Ce Sn Sb
4 5 1
direct
0.1856 0.1856 0.0000
0.2789 0.5000 0.7789
0.7211 0.5000 0.2211
0.8144 0.8144 0.0000
0.1198 0.8008 0.3190
0.4819 0.8008 0.6810
0.5000 0.0000 0.5000
0.5181 0.1992 0.3190
0.8802 0.1992 0.6810
0.0000 0.5000 0.5000